# PBE-GGA ZrSn3Au, optimized geometry
data_ZrSn3Au
_cell_length_a 5.2940
_cell_length_b 5.2940
_cell_length_c 5.2940
_cell_angle_alpha 90.00
_cell_angle_beta 90.00
_cell_angle_gamma 90.00
_symmetry_space_group_name_H-M 'P m -3 m'
_symmetry_Int_Tables_number 221
_symmetry_space_group_name_Hall '-P 4 2 3'
loop_
_atom_site_label
_atom_site_type_symbol
_atom_site_fract_x
_atom_site_fract_y
_atom_site_fract_z
_atom_site_occupancy
Zr1 Zr 0.0000 0.0000 0.0000 1
Sn1 Sn 0.0000 0.5000 0.5000 1
Au1 Au 0.5000 0.5000 0.5000 1
# E_tot (eV/atom): -4.16
# DFT formation energy (eV per atom): 0.60
# Relative energy among the computed polymorphs (eV per atom): 0.044

***

# PBE-GGA Zr2Sn2Au, optimized geometry
data_Zr2Sn2Au
_cell_length_a 4.4397
_cell_length_b 4.4397
_cell_length_c 12.9894
_cell_angle_alpha 90.00
_cell_angle_beta 90.00
_cell_angle_gamma 90.00
_symmetry_space_group_name_H-M 'I 4/m m m'
_symmetry_Int_Tables_number 139
_symmetry_space_group_name_Hall '-I 4 2'
loop_
_atom_site_label
_atom_site_type_symbol
_atom_site_fract_x
_atom_site_fract_y
_atom_site_fract_z
_atom_site_occupancy
Zr1 Zr 0.0000 0.5000 0.2500 1
Sn1 Sn 0.0000 0.0000 0.1026 1
Au1 Au 0.0000 0.0000 0.5000 1
# E_tot (eV/atom): -5.40
# DFT formation energy (eV per atom): 0.27
# Relative energy among the computed polymorphs (eV per atom): 0.599

***

# PBE-GGA Zr7Sn2Au2, optimized geometry
data_Zr7Sn2Au2
_cell_length_a 5.9914
_cell_length_b 6.0064
_cell_length_c 8.5667
_cell_angle_alpha 89.99
_cell_angle_beta 69.53
_cell_angle_gamma 60.09
_symmetry_space_group_name_H-M 'P -1'
_symmetry_Int_Tables_number 2
loop_
_symmetry_equiv_pos_as_xyz
'x,y,z'
'-x,-y,-z'
loop_
_atom_site_label
_atom_site_type_symbol
_atom_site_fract_x
_atom_site_fract_y
_atom_site_fract_z
_atom_site_occupancy
Zr1 Zr 0.0000 0.0000 0.0000 1
Zr2 Zr 0.2128 0.3923 0.6827 1
Zr3 Zr 0.2879 0.1035 0.3180 1
Zr4 Zr 0.2904 0.6051 0.3173 1
Sn1 Sn 0.3338 0.3320 0.0004 1
Au1 Au 0.2430 0.8782 0.6360 1
# E_tot (eV/atom): -7.11
# DFT formation energy (eV per atom): -0.35

***

# PBE-GGA Zr8Sn2Au, optimized geometry
data_Zr8Sn2Au
_cell_length_a 18.8979
_cell_length_b 4.7584
_cell_length_c 5.9718
_cell_angle_alpha 90.00
_cell_angle_beta 107.13
_cell_angle_gamma 90.00
_symmetry_space_group_name_H-M 'C 1 2/m 1'
_symmetry_Int_Tables_number 12
loop_
_symmetry_equiv_pos_as_xyz
'x,y,z'
'-x,-y,-z'
'-x,y,-z'
'x,-y,z'
'x+1/2,y+1/2,z'
'-x+1/2,-y+1/2,-z'
'-x+1/2,y+1/2,-z'
'x+1/2,-y+1/2,z'
loop_
_atom_site_label
_atom_site_type_symbol
_atom_site_fract_x
_atom_site_fract_y
_atom_site_fract_z
_atom_site_occupancy
Zr1 Zr 0.0256 0.0000 0.2618 1
Zr2 Zr 0.0897 0.5000 0.9973 1
Zr3 Zr 0.1516 0.5000 0.5353 1
Zr4 Zr 0.2305 0.0000 0.8360 1
Sn1 Sn 0.1815 0.0000 0.2674 1
Au1 Au 0.0000 0.5000 0.5000 1
# E_tot (eV/atom): -7.46
# DFT formation energy (eV per atom): -0.22

***

# PBE-GGA ZrSnAu3, optimized geometry
data_ZrSnAu3
_cell_length_a 5.0679
_cell_length_b 5.0679
_cell_length_c 5.0679
_cell_angle_alpha 90.00
_cell_angle_beta 90.00
_cell_angle_gamma 90.00
_symmetry_space_group_name_H-M 'P m -3 m'
_symmetry_Int_Tables_number 221
_symmetry_space_group_name_Hall '-P 4 2 3'
loop_
_atom_site_label
_atom_site_type_symbol
_atom_site_fract_x
_atom_site_fract_y
_atom_site_fract_z
_atom_site_occupancy
Zr1 Zr 0.0000 0.0000 0.0000 1
Sn1 Sn 0.5000 0.5000 0.5000 1
Au1 Au 0.0000 0.5000 0.5000 1
# E_tot (eV/atom): -3.88
# DFT formation energy (eV per atom): 0.60
# Relative energy among the computed polymorphs (eV per atom): 0.033

***

# PBE-GGA Zr4SnAu, optimized geometry
data_Zr4SnAu
_cell_length_a 5.5492
_cell_length_b 6.6771
_cell_length_c 8.3909
_cell_angle_alpha 100.82
_cell_angle_beta 109.31
_cell_angle_gamma 90.05
_symmetry_space_group_name_H-M 'P -1'
_symmetry_Int_Tables_number 2
loop_
_symmetry_equiv_pos_as_xyz
'x,y,z'
'-x,-y,-z'
loop_
_atom_site_label
_atom_site_type_symbol
_atom_site_fract_x
_atom_site_fract_y
_atom_site_fract_z
_atom_site_occupancy
Zr1 Zr 0.0272 0.1060 0.3094 1
Zr2 Zr 0.2829 0.6054 0.3095 1
Zr3 Zr 0.3152 0.5621 0.8474 1
Zr4 Zr 0.4676 0.9386 0.1527 1
Sn1 Sn 0.1096 0.2501 0.9997 1
Au1 Au 0.0000 0.5000 0.5000 1
Au2 Au 0.5000 0.0000 0.5000 1
# E_tot (eV/atom): -6.99
# DFT formation energy (eV per atom): -0.08

***

# PBE-GGA Sr5Au6, optimized geometry
data_Sr5Au6
_cell_length_a 5.4486
_cell_length_b 7.7693
_cell_length_c 16.0642
_cell_angle_alpha 90.00
_cell_angle_beta 90.00
_cell_angle_gamma 90.00
_symmetry_space_group_name_H-M 'I m m m'
_symmetry_Int_Tables_number 71
_symmetry_space_group_name_Hall '-I 2 2'
loop_
_atom_site_label
_atom_site_type_symbol
_atom_site_fract_x
_atom_site_fract_y
_atom_site_fract_z
_atom_site_occupancy
Sr1 Sr 0.0000 0.0000 0.0000 1
Sr2 Sr 0.0000 0.0000 0.3629 1
Sr3 Sr 0.0000 0.5000 0.3217 1
Au1 Au 0.0000 0.2151 0.1811 1
Au2 Au 0.0000 0.3008 0.5000 1
# E_tot (eV/atom): -3.22
# DFT formation energy (eV per atom): -0.67

***

# PBE-GGA Sr3Au4, optimized geometry
data_Sr3Au4
_cell_length_a 7.2712
_cell_length_b 7.2712
_cell_length_c 5.0332
_cell_angle_alpha 90.00
_cell_angle_beta 90.00
_cell_angle_gamma 120.00
_symmetry_space_group_name_H-M 'P 6/m m m'
_symmetry_Int_Tables_number 191
_symmetry_space_group_name_Hall '-P 6 2'
loop_
_atom_site_label
_atom_site_type_symbol
_atom_site_fract_x
_atom_site_fract_y
_atom_site_fract_z
_atom_site_occupancy
Sr1 Sr 0.0000 0.5000 0.0000 1
Au1 Au 0.0000 0.0000 0.2499 1
Au2 Au 0.3333 0.6667 0.5000 1
# E_tot (eV/atom): -2.87
# DFT formation energy (eV per atom): -0.28
# Relative energy among the computed polymorphs (eV per atom): 0.288

***

> Among the records above, which one has the lowest DFT formation energy?

Sr5Au6

***

> Which of these has the lowest DFT formation energy?

Sr5Au6

***

Please write out number 4 again, unchanged.
# PBE-GGA Zr8Sn2Au, optimized geometry
data_Zr8Sn2Au
_cell_length_a 18.8979
_cell_length_b 4.7584
_cell_length_c 5.9718
_cell_angle_alpha 90.00
_cell_angle_beta 107.13
_cell_angle_gamma 90.00
_symmetry_space_group_name_H-M 'C 1 2/m 1'
_symmetry_Int_Tables_number 12
loop_
_symmetry_equiv_pos_as_xyz
'x,y,z'
'-x,-y,-z'
'-x,y,-z'
'x,-y,z'
'x+1/2,y+1/2,z'
'-x+1/2,-y+1/2,-z'
'-x+1/2,y+1/2,-z'
'x+1/2,-y+1/2,z'
loop_
_atom_site_label
_atom_site_type_symbol
_atom_site_fract_x
_atom_site_fract_y
_atom_site_fract_z
_atom_site_occupancy
Zr1 Zr 0.0256 0.0000 0.2618 1
Zr2 Zr 0.0897 0.5000 0.9973 1
Zr3 Zr 0.1516 0.5000 0.5353 1
Zr4 Zr 0.2305 0.0000 0.8360 1
Sn1 Sn 0.1815 0.0000 0.2674 1
Au1 Au 0.0000 0.5000 0.5000 1
# E_tot (eV/atom): -7.46
# DFT formation energy (eV per atom): -0.22